No. 1
## Cs4NpU3Se8 (PBE)

Data for Cs4NpU3Se8 after structural relaxation.

Calculated values
E_form (uncorrected) = -1.2114 eV/atom
N(E_F) = 1.58 states/eV per atom
magnetization = 13.01 μB per cell
SG = R-3m

Cell lengths 9.7756, 9.7756, 9.7756 Å; angles 51.89, 51.89, 51.89 degrees
Last column: nearest neighbours and their distance in Å.
Sites, in units of the cell vectors:
Cs  0.0000  0.0000  0.0000  6 Se 3.60
Cs  0.0000  0.5000  0.5000  6 Se 3.61-3.62
Cs  0.5000  0.0000  0.5000  6 Se 3.61-3.62
Cs  0.5000  0.5000  0.0000  6 Se 3.61-3.62
Np  0.5000  0.5000  0.5000  6 Se 2.94
U  0.0000  0.0000  0.5000  6 Se 2.92-2.93
U  0.0000  0.5000  0.0000  6 Se 2.92-2.93
U  0.5000  0.0000  0.0000  6 Se 2.92-2.93
Se  0.2268  0.7301  0.7301  2 U 2.92, 1 Np 2.94
Se  0.2292  0.2292  0.2292  3 U 2.93
Se  0.2699  0.2699  0.7732  2 U 2.92, 1 Np 2.94
Se  0.2699  0.7732  0.2699  2 U 2.92, 1 Np 2.94
Se  0.7301  0.2268  0.7301  2 U 2.92, 1 Np 2.94
Se  0.7301  0.7301  0.2268  2 U 2.92, 1 Np 2.94
Se  0.7708  0.7708  0.7708  3 U 2.93
Se  0.7732  0.2699  0.2699  2 U 2.92, 1 Np 2.94



No. 2
## Cs3Np2VSe6 (PBE)

Data for Cs3Np2VSe6 after structural relaxation.

Calculated values
E_form (uncorrected) = -1.0947 eV/atom
N(E_F) = 1.38 states/eV per atom
magnetization = 10.00 μB per cell
SG = C2/m

Cell lengths 7.2528, 7.2528, 8.6854 Å; angles 98.01, 98.01, 120.00 degrees
Last column: nearest neighbours and their distance in Å.
Sites, in units of the cell vectors:
Cs  0.0000  0.0000  0.0000  6 Se 3.56-3.68
Cs  0.3314  0.6686  0.0000  6 Se 3.57-3.67
Cs  0.6686  0.3314  0.0000  6 Se 3.57-3.67
Np  0.1665  0.8335  0.5000  6 Se 2.90
Np  0.8335  0.1665  0.5000  6 Se 2.90
V  0.5000  0.5000  0.5000  6 Se 2.74-2.75
Se  0.1238  0.4401  0.3204  1 V 2.74, 2 Np 2.90
Se  0.2439  0.2439  0.6809  1 V 2.75, 2 Np 2.90
Se  0.4401  0.1238  0.3204  1 V 2.74, 2 Np 2.90
Se  0.5599  0.8762  0.6796  1 V 2.74, 2 Np 2.90
Se  0.7561  0.7561  0.3191  1 V 2.75, 2 Np 2.90
Se  0.8762  0.5599  0.6796  1 V 2.74, 2 Np 2.90